[1]
PrHo7Tm4: optimized geometry, GGA-PBE.

a b c (Å): 12.0069 5.8276 12.5141
angles (deg): 90.00 117.95 90.00
Space group C2/m (No. 12)
Asymmetric unit:
Pr  0.0000  0.0000  0.0000 x2
Ho  0.0000  0.5000  0.0000 x2
Ho  0.0578  0.0000  0.3321 x4
Ho  0.1350  0.5000  0.5050 x4
Ho  0.2109  0.0000  0.9219 x4
Tm  0.1304  0.5000  0.7740 x4
Tm  0.2473  0.5000  0.3150 x4

Summary:
* VASP energy: -102.6 eV per cell
* energy above the most stable polymorph in this dataset: 286.5 meV/atom


[2]
Pr2HoTm7: optimized geometry, GGA-PBE.

a b c (Å): 6.4384 28.6597 3.4947
angles (deg): 90.00 90.00 90.00
Space group Cmmm (No. 65)
Asymmetric unit:
Pr  0.0000  0.2084  0.0000 x4
Ho  0.0000  0.5000  0.5000 x2
Tm  0.0000  0.0000  0.0000 x2
Tm  0.0000  0.3170  0.5000 x4
Tm  0.2456  0.4028  0.0000 x8

Summary:
* VASP energy: -87.7 eV per cell
* energy above the most stable polymorph in this dataset: 131.4 meV/atom


[3]
Pr6HoTm: optimized geometry, GGA-PBE.

a b c (Å): 5.1758 5.1758 10.3493
angles (deg): 90.00 90.00 90.00
Space group P4/mmm (No. 123)
Asymmetric unit:
Pr  0.0000  0.0000  0.0000 x1
Pr  0.0000  0.0000  0.5000 x1
Pr  0.0000  0.5000  0.2494 x4
Ho  0.5000  0.5000  0.5000 x1
Tm  0.5000  0.5000  0.0000 x1

Summary:
* VASP energy: -37.6 eV per cell
* energy above the most stable polymorph in this dataset: 0.0 meV/atom


[4]
Pr2HoTm: optimized geometry, GGA-PBE.

a b c (Å): 8.1284 8.1284 8.1284
angles (deg): 90.00 90.00 90.00
Space group Fm-3m (No. 225)
Asymmetric unit:
Pr  0.2500  0.2500  0.2500 x8
Ho  0.0000  0.0000  0.0000 x4
Tm  0.0000  0.0000  0.5000 x4

Summary:
* VASP energy: -72.9 eV per cell
* energy above the most stable polymorph in this dataset: 81.2 meV/atom


[5]
Pr12HoTm6: optimized geometry, GGA-PBE.

a b c (Å): 12.1842 12.1842 15.3858
angles (deg): 90.00 90.00 120.00
Space group R-3 (No. 148, hexagonal axes)
Asymmetric unit:
Pr  0.9999  0.1731  0.1916 x18
Pr  0.0485  0.1994  0.4158 x18
Ho  0.0000  0.0000  0.0000 x3
Tm  0.0185  0.5879  0.6885 x18

Summary:
* VASP energy: -259.0 eV per cell
* energy above the most stable polymorph in this dataset: 0.0 meV/atom


[6]
Pr2Ho8Tm3: optimized geometry, GGA-PBE.

a b c (Å): 7.5740 20.8296 5.4869
angles (deg): 90.00 90.00 90.00
Space group Cmmm (No. 65)
Asymmetric unit:
Pr  0.0000  0.2401  0.0000 x4
Ho  0.0000  0.1265  0.5000 x4
Ho  0.0000  0.3405  0.5000 x4
Ho  0.2133  0.3946  0.0000 x8
Tm  0.0000  0.0000  0.0000 x2
Tm  0.2144  0.5000  0.5000 x4

Summary:
* VASP energy: -113.0 eV per cell


[7]
PrHo3Tm12: optimized geometry, GGA-PBE.

a b c (Å): 4.9607 4.9607 19.8487
angles (deg): 90.00 90.00 90.00
Space group P4/mmm (No. 123)
Asymmetric unit:
Pr  0.0000  0.0000  0.0000 x1
Ho  0.0000  0.0000  0.2513 x2
Ho  0.0000  0.0000  0.5000 x1
Tm  0.0000  0.5000  0.1275 x4
Tm  0.0000  0.5000  0.3758 x4
Tm  0.5000  0.5000  0.0000 x1
Tm  0.5000  0.5000  0.2519 x2
Tm  0.5000  0.5000  0.5000 x1

Summary:
* VASP energy: -71.7 eV per cell


[8]
Pr6Ho3Tm2: optimized geometry, GGA-PBE.

a b c (Å): 4.7572 4.7572 34.2132
angles (deg): 90.00 90.00 90.00
Space group I4/mmm (No. 139)
Asymmetric unit:
Pr  0.0000  0.0000  0.2074 x4
Pr  0.0000  0.5000  0.1188 x8
Ho  0.0000  0.0000  0.3077 x4
Ho  0.0000  0.0000  0.5000 x2
Tm  0.0000  0.0000  0.0446 x4

Summary:
* VASP energy: -96.0 eV per cell
* energy above the most stable polymorph in this dataset: 223.5 meV/atom


[9]
Pr2HoTm: optimized geometry, GGA-PBE.

a b c (Å): 3.6190 3.6190 34.9718
angles (deg): 90.00 90.00 120.00
Space group R-3m (No. 166, hexagonal axes)
Asymmetric unit:
Pr  0.0000  0.0000  0.2504 x6
Ho  0.0000  0.0000  0.5000 x3
Tm  0.0000  0.0000  0.0000 x3

Summary:
* VASP energy: -55.6 eV per cell
* energy above the most stable polymorph in this dataset: 0.0 meV/atom


[10]
Pr5Ho2Tm6: optimized geometry, GGA-PBE.

a b c (Å): 11.6180 20.5269 3.5947
angles (deg): 90.00 90.00 90.00
Space group Pbam (No. 55)
Asymmetric unit:
Pr  0.0000  0.0000  0.0000 x2
Pr  0.0820  0.2723  0.0000 x4
Pr  0.1984  0.5501  0.0000 x4
Ho  0.1721  0.7109  0.5000 x4
Tm  0.0626  0.4185  0.5000 x4
Tm  0.0796  0.1316  0.5000 x4
Tm  0.1760  0.8616  0.0000 x4

Summary:
* VASP energy: -117.2 eV per cell


[11]
PrHo5Tm3: optimized geometry, GGA-PBE.

a b c (Å): 16.8346 7.9240 12.0998
angles (deg): 90.00 130.53 90.00
Space group C2/m (No. 12)
Asymmetric unit:
Pr  0.2367  0.0000  0.1344 x4
Ho  0.0000  0.3219  0.0000 x4
Ho  0.0640  0.2078  0.7797 x8
Ho  0.1227  0.0000  0.5664 x4
Ho  0.2014  0.5000  0.0723 x4
Tm  0.0000  0.0000  0.0000 x2
Tm  0.0000  0.5000  0.5000 x2
Tm  0.1225  0.5000  0.3190 x4
Tm  0.1664  0.0000  0.3376 x4

Summary:
* VASP energy: -148.8 eV per cell
* energy above the most stable polymorph in this dataset: 88.1 meV/atom


[12]
Pr2HoTm7: optimized geometry, GGA-PBE.

a b c (Å): 6.1308 7.0611 7.8940
angles (deg): 102.80 97.41 106.80
Space group P-1 (No. 2)
Asymmetric unit:
Pr  0.1988  0.3982  0.3965 x2
Ho  0.0000  0.0000  0.0000 x1
Tm  0.0000  0.5000  0.0000 x1
Tm  0.2018  0.9001  0.3989 x2
Tm  0.3988  0.2991  0.8019 x2
Tm  0.4014  0.8027  0.8033 x2

Summary:
* VASP energy: -45.2 eV per cell
* energy above the most stable polymorph in this dataset: 0.0 meV/atom


What is the formula in the sixth record?
Pr2Ho8Tm3